[1]
Below is a relaxed KGa5Ag crystal, with properties calculated at the PBE-GGA level.

Structure (POSCAR):
```
KGa5Ag
1.0
3.9971 0.0000 0.0000
0.0000 3.9971 0.0000
0.0000 0.0000 10.1714
K Ga Ag
1 5 1
direct
0.0000 0.0000 0.0000 K
0.0000 0.5000 0.2856 Ga
0.0000 0.5000 0.7144 Ga
0.5000 0.0000 0.2856 Ga
0.5000 0.0000 0.7144 Ga
0.5000 0.5000 0.5000 Ga
0.0000 0.0000 0.5000 Ag
```

Computed properties:
ΔE_f: -38 meV/atom


[2]
Below is a relaxed MoAsP2 crystal, with properties calculated at the PBE-GGA level.

Structure (POSCAR):
```
MoAsP2
1.0
3.2838 0.0000 0.0000
0.0000 4.5055 0.0000
0.0000 0.0000 8.8770
Mo As P
2 2 4
direct
0.0000 0.0000 0.0000 Mo
0.5000 0.5000 0.0000 Mo
0.0000 0.0000 0.5000 As
0.5000 0.5000 0.5000 As
0.0000 0.5000 0.2122 P
0.0000 0.5000 0.7878 P
0.5000 0.0000 0.2122 P
0.5000 0.0000 0.7878 P
```

Computed properties:
ΔE_f: 339 meV/atom


[3]
Below is a relaxed Sr12H5Se3 crystal, with properties calculated at the PBE-GGA level.

Structure (POSCAR):
```
Sr12H5Se3
1.0
-8.4798 8.4798 8.4798
8.4798 -8.4798 8.4798
8.4798 8.4798 -8.4798
Sr H Se
48 20 12
direct
0.0207 0.2129 0.1193 Sr
0.0207 0.3078 0.9013 Sr
0.0935 0.7129 0.6922 Sr
0.0935 0.8807 0.4013 Sr
0.0987 0.6193 0.4065 Sr
0.0987 0.9793 0.6922 Sr
0.1193 0.0207 0.2129 Sr
0.1193 0.5987 0.9065 Sr
0.1922 0.2129 0.5935 Sr
0.1922 0.4793 0.5987 Sr
0.2129 0.1193 0.0207 Sr
0.2129 0.5935 0.1922 Sr
0.2871 0.3078 0.9065 Sr
0.2871 0.4793 0.3807 Sr
0.3078 0.9013 0.0207 Sr
0.3078 0.9065 0.2871 Sr
0.3807 0.2871 0.4793 Sr
0.3807 0.5935 0.9013 Sr
0.4013 0.0935 0.8807 Sr
0.4013 0.8078 0.5207 Sr
0.4065 0.0987 0.6193 Sr
0.4065 0.8078 0.7871 Sr
0.4793 0.3807 0.2871 Sr
0.4793 0.5987 0.1922 Sr
0.5207 0.4013 0.8078 Sr
0.5207 0.6193 0.7129 Sr
0.5935 0.1922 0.2129 Sr
0.5935 0.9013 0.3807 Sr
0.5987 0.1922 0.4793 Sr
0.5987 0.9065 0.1193 Sr
0.6193 0.4065 0.0987 Sr
0.6193 0.7129 0.5207 Sr
0.6922 0.0935 0.7129 Sr
0.6922 0.0987 0.9793 Sr
0.7129 0.5207 0.6193 Sr
0.7129 0.6922 0.0935 Sr
0.7871 0.4065 0.8078 Sr
0.7871 0.8807 0.9793 Sr
0.8078 0.5207 0.4013 Sr
0.8078 0.7871 0.4065 Sr
0.8807 0.4013 0.0935 Sr
0.8807 0.9793 0.7871 Sr
0.9013 0.0207 0.3078 Sr
0.9013 0.3807 0.5935 Sr
0.9065 0.1193 0.5987 Sr
0.9065 0.2871 0.3078 Sr
0.9793 0.6922 0.0987 Sr
0.9793 0.7871 0.8807 Sr
0.0000 0.0000 0.0000 H
0.0000 0.0000 0.5000 H
0.0000 0.5000 0.0000 H
0.0000 0.5000 0.5000 H
0.1250 0.7500 0.8750 H
0.1250 0.8750 0.2500 H
0.2500 0.1250 0.8750 H
0.2500 0.6250 0.3750 H
0.3750 0.2500 0.6250 H
0.3750 0.6250 0.7500 H
0.5000 0.0000 0.0000 H
0.5000 0.0000 0.5000 H
0.5000 0.5000 0.0000 H
0.5000 0.5000 0.5000 H
0.6250 0.3750 0.2500 H
0.6250 0.7500 0.3750 H
0.7500 0.3750 0.6250 H
0.7500 0.8750 0.1250 H
0.8750 0.1250 0.7500 H
0.8750 0.2500 0.1250 H
0.1250 0.2500 0.3750 Se
0.1250 0.3750 0.7500 Se
0.2500 0.3750 0.1250 Se
0.2500 0.8750 0.6250 Se
0.3750 0.1250 0.2500 Se
0.3750 0.7500 0.1250 Se
0.6250 0.2500 0.8750 Se
0.6250 0.8750 0.7500 Se
0.7500 0.1250 0.3750 Se
0.7500 0.6250 0.8750 Se
0.8750 0.6250 0.2500 Se
0.8750 0.7500 0.6250 Se
```

Computed properties:
Calculated total energy: -2.96 eV/atom


[4]
Below is a relaxed SmDy6Y2Sc3 crystal, with properties calculated at the PBE-GGA level.

Structure (POSCAR):
```
SmDy6Y2Sc3
1.0
3.0286 -5.2424 0.0000
3.0286 5.2424 0.0000
-2.0144 0.0000 11.3089
Sm Dy Y Sc
1 6 2 3
direct
0.0000 0.0000 0.0000 Sm
0.0872 0.4200 0.2606 Dy
0.2458 0.2458 0.7394 Dy
0.4200 0.0872 0.2606 Dy
0.5800 0.9128 0.7394 Dy
0.7542 0.7542 0.2606 Dy
0.9128 0.5800 0.7394 Dy
0.3334 0.6666 0.0000 Y
0.6666 0.3334 0.0000 Y
0.1669 0.8331 0.5000 Sc
0.5000 0.5000 0.5000 Sc
0.8331 0.1669 0.5000 Sc
```

Computed properties:
ΔE_f: 46 meV/atom


[5]
Below is a relaxed ScZn2Pd2 crystal, with properties calculated at the PBE-GGA level.

Structure (POSCAR):
```
ScZn2Pd2
1.0
4.4480 0.0000 0.0000
-2.2240 3.8521 0.0000
0.0000 0.0000 14.0069
Sc Zn Pd
3 6 6
direct
0.0000 0.0000 0.0000 Sc
0.3333 0.6667 0.6667 Sc
0.6667 0.3333 0.3333 Sc
0.0000 0.0000 0.2085 Zn
0.0000 0.0000 0.7915 Zn
0.3333 0.6667 0.4581 Zn
0.3333 0.6667 0.8752 Zn
0.6667 0.3333 0.1248 Zn
0.6667 0.3333 0.5419 Zn
0.0000 0.0000 0.4012 Pd
0.0000 0.0000 0.5988 Pd
0.3333 0.6667 0.0679 Pd
0.3333 0.6667 0.2655 Pd
0.6667 0.3333 0.7345 Pd
0.6667 0.3333 0.9321 Pd
```

Computed properties:
ΔE_f: -616 meV/atom
Energy above the lowest structure with this stoichiometry: 15 meV per atom


[6]
Below is a relaxed Ni8GeB2 crystal, with properties calculated at the PBE-GGA level.

Structure (POSCAR):
```
Ni8GeB2
1.0
3.1690 -4.6871 0.0000
3.1690 4.6871 0.0000
-1.0294 0.0000 3.8083
Ni Ge B
8 1 2
direct
0.1076 0.1076 0.7997 Ni
0.1679 0.4297 0.4124 Ni
0.2501 0.7499 0.0000 Ni
0.4297 0.1679 0.4124 Ni
0.5703 0.8321 0.5876 Ni
0.7499 0.2501 0.0000 Ni
0.8321 0.5703 0.5876 Ni
0.8924 0.8924 0.2003 Ni
0.5000 0.5000 0.0000 Ge
0.1843 0.8157 0.5000 B
0.8157 0.1843 0.5000 B
```

Computed properties:
ΔE_f: -229 meV/atom


[7]
Below is a relaxed ScAg4Ru crystal, with properties calculated at the PBE-GGA level.

Structure (POSCAR):
```
ScAg4Ru
1.0
0.0000 3.7989 3.7989
3.7989 0.0000 3.7989
3.7989 3.7989 0.0000
Sc Ag Ru
1 4 1
direct
0.0000 0.0000 0.0000 Sc
0.1257 0.6248 0.6248 Ag
0.6248 0.1257 0.6248 Ag
0.6248 0.6248 0.1257 Ag
0.6248 0.6248 0.6248 Ag
0.2500 0.2500 0.2500 Ru
```

Computed properties:
ΔE_f: 253 meV/atom


[8]
Below is a relaxed CaTc2Ir2 crystal, with properties calculated at the PBE-GGA level.

Structure (POSCAR):
```
CaTc2Ir2
1.0
7.7866 0.0000 0.0000
0.0000 7.7866 0.0000
0.0000 0.0000 2.7592
Ca Tc Ir
2 4 4
direct
0.0000 0.0000 0.0000 Ca
0.5000 0.5000 0.0000 Ca
0.1725 0.3275 0.5000 Tc
0.3275 0.8275 0.5000 Tc
0.6725 0.1725 0.5000 Tc
0.8275 0.6725 0.5000 Tc
0.1217 0.6217 0.0000 Ir
0.3783 0.1217 0.0000 Ir
0.6217 0.8783 0.0000 Ir
0.8783 0.3783 0.0000 Ir
```

Computed properties:
ΔE_f: -19 meV/atom
Energy above the lowest structure with this stoichiometry: 71 meV per atom